Entry 1:
ZnFe2Br: optimized geometry, GGA-PBE.

```
data_ZnFe2Br
_space_group_name_H-M_alt 'P 1 2/m 1'
_space_group_IT_number 10
_space_group_name_Hall '-P 2y'
_cell_length_a 4.544
_cell_length_b 3.050
_cell_length_c 4.812
_cell_angle_alpha 90.00
_cell_angle_beta 111.45
_cell_angle_gamma 90.00
loop_
_atom_site_label
_atom_site_fract_x
_atom_site_fract_y
_atom_site_fract_z
_atom_site_occupancy
Zn1 0.000 0.000 0.000 1
Fe1 0.500 0.000 0.500 1
Fe2 0.500 0.500 0.000 1
Br1 0.000 0.500 0.500 1
```

Results
Offset from the most stable computed form ... 313 meV per atom
Formation energy (no corrections) ... 557 meV per atom



Entry 2:
Ta2OsRu: optimized geometry, GGA-PBE.

```
data_Ta2OsRu
_space_group_name_H-M_alt 'P 4 m m'
_space_group_IT_number 99
_space_group_name_Hall 'P 4 -2'
_cell_length_a 3.176
_cell_length_b 3.176
_cell_length_c 6.478
_cell_angle_alpha 90.00
_cell_angle_beta 90.00
_cell_angle_gamma 90.00
loop_
_atom_site_label
_atom_site_fract_x
_atom_site_fract_y
_atom_site_fract_z
_atom_site_occupancy
Ta1 0.000 0.000 0.000 1
Ta2 0.500 0.500 0.279 1
Os1 0.000 0.000 0.498 1
Ru1 0.500 0.500 0.784 1
```

Results
Offset from the most stable computed form ... 195 meV per atom
E_form ... -0.124 eV per atom



Entry 3:
CuBi2Pt: optimized geometry, GGA-PBE.

```
data_CuBi2Pt
_space_group_name_H-M_alt 'R -3 m'
_space_group_IT_number 166
_space_group_name_Hall '-R 3 2"'
_cell_length_a 4.0731
_cell_length_b 4.0731
_cell_length_c 24.4619
_cell_angle_alpha 90.00
_cell_angle_beta 90.00
_cell_angle_gamma 120.00
loop_
_atom_site_label
_atom_site_fract_x
_atom_site_fract_y
_atom_site_fract_z
_atom_site_occupancy
Cu1 0.0000 0.0000 0.0000 1
Bi1 0.0000 0.0000 0.1062 1
Pt1 0.0000 0.0000 0.5000 1
```

Results
E_form ... 0.166 eV per atom



Entry 4:
Ba3NaAs2O8: optimized geometry, GGA-PBE.

```
data_Ba3NaAs2O8
_space_group_name_H-M_alt 'P -3 m 1'
_space_group_IT_number 164
_space_group_name_Hall '-P 3 2"'
_cell_length_a 5.9846
_cell_length_b 5.9846
_cell_length_c 7.7019
_cell_angle_alpha 90.00
_cell_angle_beta 90.00
_cell_angle_gamma 120.00
loop_
_atom_site_label
_atom_site_fract_x
_atom_site_fract_y
_atom_site_fract_z
_atom_site_occupancy
Ba1 0.0000 0.0000 0.0000 1
Ba2 0.3333 0.6667 0.6521 1
Na1 0.0000 0.0000 0.5000 1
As1 0.3333 0.6667 0.2076 1
O1 0.1760 0.3520 0.3014 1
O2 0.3333 0.6667 0.9794 1
```

Results
Formation energy (no corrections) ... -2047 meV per atom



Entry 5:
Li2AsSe3: optimized geometry, GGA-PBE.

```
data_Li2AsSe3
_space_group_name_H-M_alt 'C 1 2/c 1'
_space_group_IT_number 15
_space_group_name_Hall '-C 2yc'
_cell_length_a 12.534
_cell_length_b 5.697
_cell_length_c 7.269
_cell_angle_alpha 90.00
_cell_angle_beta 106.74
_cell_angle_gamma 90.00
loop_
_atom_site_label
_atom_site_fract_x
_atom_site_fract_y
_atom_site_fract_z
_atom_site_occupancy
Li1 0.160 0.012 0.079 1
As1 0.000 0.434 0.250 1
Se1 0.000 0.012 0.250 1
Se2 0.156 0.496 0.578 1
```

Results
Formation energy (no corrections) ... -606 meV per atom



Entry 6:
LiThRuPb: optimized geometry, GGA-PBE.

```
data_LiThRuPb
_space_group_name_H-M_alt 'F -4 3 m'
_space_group_IT_number 216
_space_group_name_Hall 'F -4 2 3'
_cell_length_a 6.917
_cell_length_b 6.917
_cell_length_c 6.917
_cell_angle_alpha 90.00
_cell_angle_beta 90.00
_cell_angle_gamma 90.00
loop_
_atom_site_label
_atom_site_fract_x
_atom_site_fract_y
_atom_site_fract_z
_atom_site_occupancy
Li1 0.000 0.000 0.000 1
Th1 0.250 0.250 0.750 1
Ru1 0.000 0.000 0.500 1
Pb1 0.250 0.250 0.250 1
```

Results
E_form ... -0.238 eV per atom



Entry 7:
Na2ScInSe4: optimized geometry, GGA-PBE.

```
data_Na2ScInSe4
_space_group_name_H-M_alt 'P 1 2/m 1'
_space_group_IT_number 10
_space_group_name_Hall '-P 2y'
_cell_length_a 6.954
_cell_length_b 3.979
_cell_length_c 7.384
_cell_angle_alpha 90.00
_cell_angle_beta 108.53
_cell_angle_gamma 90.00
loop_
_atom_site_label
_atom_site_fract_x
_atom_site_fract_y
_atom_site_fract_z
_atom_site_occupancy
Na1 0.000 0.000 0.000 1
Na2 0.500 0.500 0.000 1
Sc1 0.000 0.500 0.500 1
In1 0.500 0.000 0.500 1
Se1 0.232 0.000 0.721 1
Se2 0.258 0.500 0.281 1
```

Results
Formation energy (no corrections) ... -1177 meV per atom



Entry 8:
Cd2ReAs: optimized geometry, GGA-PBE.

```
data_Cd2ReAs
_space_group_name_H-M_alt 'C m m m'
_space_group_IT_number 65
_space_group_name_Hall '-C 2 2'
_cell_length_a 5.685
_cell_length_b 8.981
_cell_length_c 2.877
_cell_angle_alpha 90.00
_cell_angle_beta 90.00
_cell_angle_gamma 90.00
loop_
_atom_site_label
_atom_site_fract_x
_atom_site_fract_y
_atom_site_fract_z
_atom_site_occupancy
Cd1 0.250 0.250 0.000 1
Re1 0.000 0.000 0.500 1
As1 0.000 0.500 0.500 1
```

Results
E_form ... 0.617 eV per atom